1.
{"formula": "SrSn2Pb2", "functional": "GGA-PBE", "state": "optimized geometry", "magnetic_moment_mub_per_fu": 0.00, "lattice": [[2.421, -13.171, 0.000], [2.421, 13.171, 0.000], [0.000, 0.000, 4.820]], "species": ["Sr", "Sr", "Sn", "Sn", "Sn", "Sn", "Pb", "Pb", "Pb", "Pb"], "fractional_positions": [[0.155, 0.845, 0.750], [0.845, 0.155, 0.250], [0.251, 0.749, 0.250], [0.354, 0.646, 0.750], [0.646, 0.354, 0.250], [0.749, 0.251, 0.750], [0.053, 0.947, 0.250], [0.450, 0.550, 0.250], [0.550, 0.450, 0.750], [0.947, 0.053, 0.750]]}

2.
{"formula": "BeCu3Rh", "functional": "GGA-PBE", "state": "optimized geometry", "magnetic_moment_mub_per_fu": 0.00, "lattice": [[3.965, 0.000, 0.000], [0.000, 3.965, 0.000], [0.000, 0.000, 3.965]], "species": ["Be", "Cu", "Cu", "Cu", "Rh"], "fractional_positions": [[0.000, 0.000, 0.000], [0.000, 0.000, 0.500], [0.000, 0.500, 0.000], [0.500, 0.000, 0.000], [0.500, 0.500, 0.500]]}

3.
{"formula": "Er3TlPd2", "functional": "GGA-PBE", "state": "optimized geometry", "magnetic_moment_mub_per_fu": 0.00, "lattice": [[3.531, 0.000, 0.000], [0.000, 3.531, 0.000], [0.000, 0.000, 11.046]], "species": ["Er", "Er", "Er", "Tl", "Pd", "Pd"], "fractional_positions": [[0.000, 0.000, 0.000], [0.000, 0.000, 0.309], [0.000, 0.000, 0.691], [0.500, 0.500, 0.500], [0.500, 0.500, 0.160], [0.500, 0.500, 0.840]]}

4.
{"formula": "LaTb6Dy3Er2", "functional": "GGA-PBE", "state": "optimized geometry", "magnetic_moment_mub_per_fu": 0.00, "lattice": [[3.086, -5.342, 0.000], [3.086, 5.342, 0.000], [-2.050, 0.000, 11.649]], "species": ["La", "Tb", "Tb", "Tb", "Tb", "Tb", "Tb", "Dy", "Dy", "Dy", "Er", "Er"], "fractional_positions": [[0.000, 0.000, 0.000], [0.085, 0.419, 0.252], [0.250, 0.250, 0.748], [0.419, 0.085, 0.252], [0.581, 0.915, 0.748], [0.750, 0.750, 0.252], [0.915, 0.581, 0.748], [0.167, 0.833, 0.500], [0.500, 0.500, 0.500], [0.833, 0.167, 0.500], [0.333, 0.667, 0.000], [0.667, 0.333, 0.000]]}

| no. | DOS at the Fermi energy (states/eV/atom) | raw total energy (eV/atom) |
| --- | --- | --- |
| 1 | 0.526 | -3.659 |
| 2 | 0.341 | -4.241 |
| 3 | 0.489 | -5.137 |
| 4 | 1.296 | -4.617 |